A relaxed Th4PbAu crystal, computed with PBE-GGA.

The structure belongs to space group P4/mcc (No. 124); the cell edges are 7.670, 7.670 and 6.145 Å and the angles 90.00°, 90.00° and 90.00°. The distinct sites, in fractional coordinates, are Th at (0.146, 0.337, 0.000), Pb at (0.500, 0.500, 0.250) and Au at (0.000, 0.000, 0.250).

As for the formation energy: -295 meV/atom. The calculation puts the volume at 30.126 Å³ per atom. The value obtained for the size of the total moment is 0.00 μB per cell. The calculation puts the total energy at -6.4055 eV per atom.



A relaxed CoTe2WN crystal, computed with PBE-GGA.

The structure belongs to space group P4/mmm (No. 123); the cell edges are 5.170, 5.170 and 3.374 Å and the angles 90.00°, 90.00° and 90.00°. The distinct sites, in fractional coordinates, are Co at (0.000, 0.000, 0.000), Te at (0.000, 0.500, 0.000), W at (0.500, 0.500, 0.500) and N at (0.000, 0.000, 0.500).

For the formation energy without anion corrections, the calculation gives 0.84 eV/atom. The calculation puts the volume at 18.037 Å³ per atom. The value obtained for the size of the total moment is 1.76 μB per cell. The calculation puts the total energy at -6.0971 eV per atom.



A relaxed ErSiAu2 crystal, computed with PBE-GGA.

The structure belongs to space group R-3m (No. 166, hexagonal axes); the cell edges are 4.2508, 4.2508 and 15.6293 Å and the angles 90.00°, 90.00° and 120.00°. The distinct sites, in fractional coordinates, are Er at (0.0000, 0.0000, 0.0000), Si at (0.0000, 0.0000, 0.5000) and Au at (0.0000, 0.0000, 0.2245).

For the formation energy without anion corrections, the calculation gives -0.52 eV/atom. The calculation puts the volume at 20.381 Å³ per atom. The value obtained for the size of the total moment is 0.00 μB per cell. The calculation puts the total energy at -4.6510 eV per atom.



A relaxed Pm2TmNi crystal, computed with PBE-GGA.

The structure belongs to space group Pnna (No. 52); the cell edges are 6.450, 6.348 and 11.307 Å and the angles 90.00°, 90.00° and 90.00°. The distinct sites, in fractional coordinates, are Pm at (0.087, 0.241, 0.088), Tm at (0.074, 0.250, 0.750) and Ni at (0.250, 0.000, 0.591).

As for the formation energy: -91 meV/atom. The calculation puts the volume at 28.937 Å³ per atom. The value obtained for the size of the total moment is 0.00 μB per cell. The calculation puts the total energy at -5.0300 eV per atom.



A relaxed Bi2PCl crystal, computed with PBE-GGA.

The structure belongs to space group I-42d (No. 122); the cell edges are 7.936, 7.936 and 7.025 Å and the angles 90.00°, 90.00° and 90.00°. The distinct sites, in fractional coordinates, are Bi at (0.214, 0.250, 0.125), P at (0.000, 0.000, 0.000) and Cl at (0.000, 0.000, 0.500).

For the formation energy without anion corrections, the calculation gives -0.08 eV/atom. The calculation puts the volume at 27.649 Å³ per atom. The value obtained for the size of the total moment is 0.00 μB per cell. The calculation puts the total energy at -3.8304 eV per atom.



A relaxed La2PbO crystal, computed with PBE-GGA.

The structure belongs to space group R-3m (No. 166, hexagonal axes); the cell edges are 3.7974, 3.7974 and 24.3569 Å and the angles 90.00°, 90.00° and 120.00°. The distinct sites, in fractional coordinates, are La at (0.0000, 0.0000, 0.2233), Pb at (0.0000, 0.0000, 0.0000) and O at (0.0000, 0.0000, 0.5000).

For the formation energy without anion corrections, the calculation gives -1.63 eV/atom. The calculation puts the volume at 25.348 Å³ per atom. The value obtained for the size of the total moment is 0.00 μB per cell. The calculation puts the total energy at -6.2582 eV per atom.



A relaxed ThZr2Ag crystal, computed with PBE-GGA.

The structure belongs to space group P4/mmm (No. 123); the cell edges are 3.442, 3.442 and 8.103 Å and the angles 90.00°, 90.00° and 90.00°. The distinct sites, in fractional coordinates, are Th at (0.000, 0.000, 0.000), Zr at (0.500, 0.500, 0.281) and Ag at (0.000, 0.000, 0.500).

As for the formation energy: 25 meV/atom. The calculation puts the volume at 24.003 Å³ per atom. The value obtained for the size of the total moment is 0.00 μB per cell. The calculation puts the total energy at -6.8166 eV per atom.



A relaxed Mn2Ni6Ge crystal, computed with PBE-GGA.

The structure belongs to space group P-3m1 (No. 164); the cell edges are 4.9654, 4.9654 and 5.3046 Å and the angles 90.00°, 90.00° and 120.00°. The distinct sites, in fractional coordinates, are Mn at (0.3333, 0.6667, 0.1526), Ni at (0.1755, 0.3510, 0.6760) and Ge at (0.0000, 0.0000, 0.0000).

As for the formation energy: 18 meV/atom. The calculation puts the volume at 12.585 Å³ per atom. The value obtained for the size of the total moment is 9.57 μB per cell. The calculation puts the total energy at -6.3868 eV per atom.



A relaxed CrFeBr2 crystal, computed with PBE-GGA.

The structure belongs to space group Cmmm (No. 65); the cell edges are 3.556, 6.458 and 7.913 Å and the angles 90.00°, 90.00° and 90.00°. The distinct sites, in fractional coordinates, are Cr at (0.000, 0.000, 0.000), Fe at (0.000, 0.000, 0.500) and Br at (0.000, 0.500, 0.260).

For the formation energy without anion corrections, the calculation gives 0.44 eV/atom. The calculation puts the volume at 22.713 Å³ per atom. The value obtained for the size of the total moment is 15.87 μB per cell. The calculation puts the total energy at -4.9148 eV per atom.



A relaxed LiAcZn2H6 crystal, computed with PBE-GGA.

The structure belongs to space group R-3 (No. 148, hexagonal axes); the cell edges are 4.7379, 4.7379 and 19.2275 Å and the angles 90.00°, 90.00° and 120.00°. The distinct sites, in fractional coordinates, are Li at (0.0000, 0.0000, 0.0000), Ac at (0.0000, 0.0000, 0.5000), Zn at (0.0000, 0.0000, 0.2649) and H at (0.0043, 0.3223, 0.6051).

The calculation puts the volume at 12.459 Å³ per atom. The value obtained for the size of the total moment is 0.00 μB per cell. The calculation puts the total energy at -2.9778 eV per atom.



A relaxed Mg2TaReW crystal, computed with PBE-GGA.

The structure belongs to space group P4/mmm (No. 123); the cell edges are 4.960, 4.960 and 4.606 Å and the angles 90.00°, 90.00° and 90.00°. The distinct sites, in fractional coordinates, are Mg at (0.000, 0.500, 0.000), Ta at (0.000, 0.000, 0.000), Re at (0.000, 0.000, 0.500) and W at (0.500, 0.500, 0.500).

As for the formation energy: 2336 meV/atom. The calculation puts the volume at 22.661 Å³ per atom. The value obtained for the size of the total moment is 0.00 μB per cell. The calculation puts the total energy at -5.7523 eV per atom.



A relaxed CeU3Tl3Te8 crystal, computed with PBE-GGA.

The structure belongs to space group R-3m (No. 166, hexagonal axes); the cell edges are 8.8723, 8.8723 and 24.8746 Å and the angles 90.00°, 90.00° and 120.00°. The distinct sites, in fractional coordinates, are Ce at (0.0000, 0.0000, 0.0000), U at (0.0000, 0.5000, 0.0000), Tl at (0.0000, 0.5000, 0.5000), Te at (0.0000, 0.0000, 0.2616) and Te at (0.0082, 0.5041, 0.2613).

For the formation energy without anion corrections, the calculation gives -0.67 eV/atom. The calculation puts the volume at 37.678 Å³ per atom. The value obtained for the size of the total moment is 27.00 μB per cell. The calculation puts the total energy at -5.4756 eV per atom.



A relaxed CeSm4Sb5 crystal, computed with PBE-GGA.

The structure belongs to space group I4/mmm (No. 139); the cell edges are 4.480, 4.480 and 31.622 Å and the angles 90.00°, 90.00° and 90.00°. The distinct sites, in fractional coordinates, are Ce at (0.000, 0.000, 0.000), Sm at (0.000, 0.000, 0.200), Sm at (0.000, 0.000, 0.399), Sb at (0.000, 0.000, 0.100), Sb at (0.000, 0.000, 0.300) and Sb at (0.000, 0.000, 0.500).

For the formation energy without anion corrections, the calculation gives -1.15 eV/atom. The calculation puts the volume at 31.731 Å³ per atom. The value obtained for the size of the total moment is 1.55 μB per cell. The calculation puts the total energy at -5.6940 eV per atom.



A relaxed Li9Mg2In crystal, computed with PBE-GGA.

The structure belongs to space group R-3m (No. 166, hexagonal axes); the cell edges are 5.4689, 5.4689 and 27.3634 Å and the angles 90.00°, 90.00° and 120.00°. The distinct sites, in fractional coordinates, are Li at (0.0000, 0.0000, 0.0000), Li at (0.0000, 0.0000, 0.1649), Li at (0.0052, 0.5026, 0.4152), Mg at (0.0000, 0.0000, 0.3522) and In at (0.0000, 0.0000, 0.5000).

As for the formation energy: 11 meV/atom. The calculation puts the volume at 19.688 Å³ per atom. The value obtained for the size of the total moment is 0.00 μB per cell. The calculation puts the total energy at -1.9182 eV per atom.



A relaxed Ba6PRh2Br3 crystal, computed with PBE-GGA.

The structure belongs to space group C2/m (No. 12); the cell edges are 7.969, 13.805 and 8.464 Å and the angles 90.00°, 108.30° and 90.00°. The distinct sites, in fractional coordinates, are Ba at (0.231, 0.000, 0.208), Ba at (0.238, 0.331, 0.207), P at (0.000, 0.500, 0.000), Rh at (0.000, 0.167, 0.000), Br at (0.000, 0.000, 0.500) and Br at (0.000, 0.334, 0.500).

For the formation energy without anion corrections, the calculation gives -1.16 eV/atom. The calculation puts the volume at 36.834 Å³ per atom. The value obtained for the size of the total moment is 0.00 μB per cell. The calculation puts the total energy at -4.2115 eV per atom.



A relaxed CeSc3S crystal, computed with PBE-GGA.

The structure belongs to space group Pm-3m (No. 221); the cell edges are 4.967, 4.967 and 4.967 Å and the angles 90.00°, 90.00° and 90.00°. The distinct sites, in fractional coordinates, are Ce at (0.000, 0.000, 0.000), Sc at (0.000, 0.500, 0.500) and S at (0.500, 0.500, 0.500).

For the formation energy without anion corrections, the calculation gives -0.52 eV/atom. The calculation puts the volume at 24.513 Å³ per atom. The value obtained for the size of the total moment is 0.79 μB per cell. The calculation puts the total energy at -6.3273 eV per atom.



A relaxed MgRh3 crystal, computed with PBE-GGA.

The structure belongs to space group Pnma (No. 62); the cell edges are 4.839, 8.911 and 5.449 Å and the angles 90.00°, 90.00° and 90.00°. The distinct sites, in fractional coordinates, are Mg at (0.076, 0.250, 0.117), Rh at (0.085, 0.250, 0.627) and Rh at (0.235, 0.504, 0.374).

As for the formation energy: -228 meV/atom. The calculation puts the volume at 14.686 Å³ per atom. The value obtained for the size of the total moment is 0.00 μB per cell. The calculation puts the total energy at -6.1402 eV per atom.



A relaxed CaHgRh2 crystal, computed with PBE-GGA.

The structure belongs to space group Imm2 (No. 44); the cell edges are 3.214, 4.669 and 10.019 Å and the angles 90.00°, 90.00° and 90.00°. The distinct sites, in fractional coordinates, are Ca at (0.000, 0.000, 0.000), Hg at (0.000, 0.500, 0.779), Rh at (0.000, 0.000, 0.521) and Rh at (0.000, 0.500, 0.232).

As for the formation energy: -115 meV/atom. The calculation puts the volume at 18.793 Å³ per atom. The value obtained for the size of the total moment is 0.00 μB per cell. The calculation puts the total energy at -4.3666 eV per atom.



A relaxed BOsSN2 crystal, computed with PBE-GGA.

The structure belongs to space group P4/mmm (No. 123); the cell edges are 3.465, 3.465 and 4.024 Å and the angles 90.00°, 90.00° and 90.00°. The distinct sites, in fractional coordinates, are B at (0.000, 0.000, 0.000), Os at (0.500, 0.500, 0.500), S at (0.000, 0.000, 0.500) and N at (0.000, 0.500, 0.000).

For the formation energy without anion corrections, the calculation gives 1.68 eV/atom. The calculation puts the volume at 9.661 Å³ per atom. The value obtained for the size of the total moment is 0.00 μB per cell. The calculation puts the total energy at -6.0522 eV per atom.



A relaxed RbCuHg2Au crystal, computed with PBE-GGA.

The structure belongs to space group P4/mmm (No. 123); the cell edges are 5.242, 5.242 and 5.204 Å and the angles 90.00°, 90.00° and 90.00°. The distinct sites, in fractional coordinates, are Rb at (0.000, 0.000, 0.000), Cu at (0.500, 0.500, 0.500), Hg at (0.000, 0.500, 0.500) and Au at (0.500, 0.500, 0.000).

As for the formation energy: -82 meV/atom. The calculation puts the volume at 28.601 Å³ per atom. The value obtained for the size of the total moment is 0.00 μB per cell. The calculation puts the total energy at -1.8705 eV per atom.



A relaxed ScBrN3 crystal, computed with PBE-GGA.

The structure belongs to space group Pm-3m (No. 221); the cell edges are 3.851, 3.851 and 3.851 Å and the angles 90.00°, 90.00° and 90.00°. The distinct sites, in fractional coordinates, are Sc at (0.000, 0.000, 0.000), Br at (0.500, 0.500, 0.500) and N at (0.000, 0.500, 0.500).

For the formation energy without anion corrections, the calculation gives 1.51 eV/atom. The calculation puts the volume at 11.423 Å³ per atom. The value obtained for the size of the total moment is 0.00 μB per cell. The calculation puts the total energy at -5.0875 eV per atom.



A relaxed CuIr2Pt crystal, computed with PBE-GGA.

The structure belongs to space group Cmm2 (No. 35); the cell edges are 2.701, 4.732 and 9.189 Å and the angles 90.00°, 90.00° and 90.00°. The distinct sites, in fractional coordinates, are Cu at (0.000, 0.000, 0.000), Ir at (0.000, 0.000, 0.490), Ir at (0.000, 0.500, 0.242) and Pt at (0.000, 0.500, 0.756).

As for the formation energy: 170 meV/atom. The calculation puts the volume at 14.681 Å³ per atom. The value obtained for the size of the total moment is 0.00 μB per cell. The calculation puts the total energy at -6.7946 eV per atom.



A relaxed DyIn12Ni5 crystal, computed with PBE-GGA.

The structure belongs to space group Immm (No. 71); the cell edges are 8.174, 8.799 and 10.219 Å and the angles 90.00°, 90.00° and 90.00°. The distinct sites, in fractional coordinates, are Dy at (0.000, 0.000, 0.000), In at (0.000, 0.311, 0.166), In at (0.177, 0.276, 0.500), In at (0.190, 0.000, 0.264), Ni at (0.000, 0.000, 0.500), Ni at (0.000, 0.500, 0.373) and Ni at (0.177, 0.500, 0.000).

As for the formation energy: -117 meV/atom. The calculation puts the volume at 20.415 Å³ per atom. The value obtained for the size of the total moment is 0.00 μB per cell. The calculation puts the total energy at -3.8046 eV per atom.



A relaxed Tm4Sb2H crystal, computed with PBE-GGA.

The structure belongs to space group I4/mmm (No. 139); the cell edges are 4.422, 4.422 and 16.479 Å and the angles 90.00°, 90.00° and 90.00°. The distinct sites, in fractional coordinates, are Tm at (0.000, 0.000, 0.176), Tm at (0.000, 0.500, 0.000), Sb at (0.000, 0.000, 0.362) and H at (0.000, 0.000, 0.000).

The calculation puts the volume at 23.019 Å³ per atom. The value obtained for the size of the total moment is 0.00 μB per cell. The calculation puts the total energy at -4.9317 eV per atom.